PaTl3Se2O8 (PBE-GGA, optimized geometry); space-group type = No. 164; size of the total moment = 0.000 μB per cell; crystal system = trigonal; V = 19.6 A^3/atom; ΔE_f (raw) = -1.340 eV per atom
1.0
6.4256 0.0000 0.0000
-3.2128 5.5647 0.0000
0.0000 0.0000 7.6875
O Pa Se Tl
8 1 2 3
Cartesian
1.7045 4.6939 2.5172
4.9173 0.8708 5.1703
0.0000 1.7416 2.5172
1.5082 0.8708 5.1703
0.0000 3.7098 0.7042
3.2128 3.8231 5.1703
3.2128 1.8549 6.9833
-1.7046 4.6939 2.5172
0.0000 0.0000 3.8437
0.0000 3.7098 2.3858
3.2128 1.8549 5.3017
3.2128 1.8549 1.7867
0.0000 3.7098 5.9008
0.0000 0.0000 0.0000



PaTl2SeO8 (PBE-GGA, optimized geometry); space-group type = No. 164; size of the total moment = 0.247 μB per cell; crystal system = trigonal; V = 13.3 A^3/atom; ΔE_f (raw) = -0.928 eV per atom
1.0
-0.3186 4.9225 -2.4281
-3.6740 -3.9063 -1.2127
-3.5893 1.9821 4.4892
Pa O Tl Se
1 8 2 1
Cartesian
-1.7946 0.9910 2.2446
-3.0689 2.8807 0.0181
-4.0083 0.4858 -1.8848
-3.7473 5.1977 1.4087
-3.5735 2.5124 2.7332
-3.8345 -2.1994 -0.5603
-4.5129 0.1175 0.8303
-1.8303 -0.0685 0.1013
-5.7515 3.0667 0.7471
-1.8585 2.2123 -1.4959
-5.7233 0.7859 2.3443
0.0000 0.0000 0.0000



Tm2PaSeO8 (PBE-GGA, optimized geometry); space-group type = No. 65; size of the total moment = 0.000 μB per cell; crystal system = orthorhombic; V = 13.8 A^3/atom; ΔE_f (raw) = -2.639 eV per atom
1.0
-3.2167 0.2201 3.7447
-3.5708 -1.2129 -3.1928
1.0649 -6.5602 1.3008
O Tm Pa Se
8 2 1 1
Cartesian
-3.0422 -1.5284 2.7748
-2.4614 -5.1151 3.4860
-1.5374 -3.5816 0.8232
-3.2612 -2.4380 -1.6333
-3.8305 -7.2762 1.6957
-1.8922 -0.2769 0.1570
-2.6804 -6.0247 -0.9221
-4.1852 -3.9715 1.0294
-3.1398 -2.0656 0.5871
-2.5828 -5.4874 1.2655
0.5325 -3.2801 0.6504
0.0000 0.0000 0.0000



UPaSeO2 (PBE-GGA, optimized geometry); space-group type = No. 107; size of the total moment = 4.871 μB per cell; crystal system = tetragonal; V = 17.8 A^3/atom; ΔE_f (raw) = -2.401 eV per atom
1.0
-3.0753 -1.2166 1.9424
0.8790 -3.6279 -0.8807
4.4380 2.0104 4.4990
Pa U O Se
1 1 2 1
Cartesian
1.2931 -2.7172 4.1320
0.9196 -0.1134 1.3849
2.1235 -2.0216 2.0957
0.1464 -0.8160 3.5073
-1.0972 -2.4224 0.5323